Material: CaAg2Te2
Method: DFT, PBE-GGA
State: optimized geometry

a b c (Å): 4.1799 4.1799 8.1771
angles (deg): 75.19 75.19 90.00
Fractional positions:
Ag  0.2500  0.7500  0.5000
Ag  0.7500  0.2500  0.5000
Te  0.3860  0.3860  0.2280
Te  0.6140  0.6140  0.7720
Ca  0.0000  0.0000  0.0000

Values from the calculation:
The density of states at the Fermi level comes out at 0.00 states/eV/f.u. For the energy relative to the elements, uncorrected, the calculation gives -0.578 eV/atom.

Material: CaAg2Te2
Method: DFT, PBE-GGA
State: optimized geometry

a b c (Å): 4.7080 4.7080 7.0798
angles (deg): 70.58 70.58 90.00
Fractional positions:
Ag  0.6052  0.6052  0.7896
Ag  0.3948  0.3948  0.2104
Ca  0.0000  0.0000  0.0000
Te  0.7500  0.2500  0.5000
Te  0.2500  0.7500  0.5000

Values from the calculation:
The density of states at the Fermi level comes out at 1.42 states/eV/f.u. For the energy relative to the elements, uncorrected, the calculation gives -0.225 eV/atom.

Material: CaAgTe
Method: DFT, PBE-GGA
State: optimized geometry

a b c (Å): 5.1040 5.1040 5.1040
angles (deg): 60.00 60.00 60.00
Fractional positions:
Ca  0.5000  0.5000  0.5000
Te  0.7500  0.7500  0.7500
Ag  0.0000  0.0000  0.0000

Values from the calculation:
The energy above the most stable polymorph in this dataset comes out at 142 meV per atom. The density of states at the Fermi level comes out at 2.73 states/eV/f.u. For the energy relative to the elements, uncorrected, the calculation gives -0.499 eV/atom.

no.,calculated total energy (eV per atom)
1,-3.376
2,-3.023
3,-3.164